# PBE SmB2N2, relaxed
data_SmB2N2
_chemical_formula_sum 'Sm1 B2 N2'
_cell_length_a 4.727
_cell_length_b 4.727
_cell_length_c 2.795
_cell_angle_alpha 90.00
_cell_angle_beta 90.00
_cell_angle_gamma 120.00
_symmetry_space_group_name_H-M 'P 1'
_symmetry_Int_Tables_number 1
loop_
_symmetry_equiv_pos_as_xyz
'x,y,z'
loop_
_atom_site_label
_atom_site_type_symbol
_atom_site_fract_x
_atom_site_fract_y
_atom_site_fract_z
Sm1 Sm 0.000 0.000 0.000
B1 B 0.333 0.667 0.500
B2 B 0.667 0.333 0.500
N1 N 0.333 0.667 0.000
N2 N 0.667 0.333 0.000
# * calculated volume: 54.1 Å³ per cell
# * uncorrected formation energy: -0.3196 eV/atom